Record 1
Below is a relaxed Mn2AgCl crystal, with properties calculated at the GGA-PBE level.

Unit cell a=8.8100 b=8.8100 c=8.8100 alpha=19.88 beta=19.88 gamma=19.88
Closest atoms and distances in Å follow each position.
Fractional coordinates of all 4 atoms:
Mn  0.0027  0.0027  0.0027  3 Cl 2.43, 3 Mn 2.70
Mn  0.2570  0.2570  0.2570  3 Mn 2.70, 3 Ag 2.80
Ag  0.5060  0.5060  0.5060  3 Mn 2.80, 6 Ag 3.04
Cl  0.7343  0.7343  0.7343  3 Mn 2.43

Computed properties:
E_form (uncorrected)	113	meV per atom

---

Record 2
Below is a relaxed TmMg3In crystal, with properties calculated at the GGA-PBE level.

Unit cell a=3.5342 b=5.0013 c=14.5883 alpha=99.87 beta=90.00 gamma=90.00
Closest atoms and distances in Å follow each position.
Fractional coordinates of all 10 atoms:
Tm  0.5000  0.8329  0.6658  4 In 3.24, 8 Mg 3.48-3.53, 2 Tm 3.53
Tm  0.5000  0.1671  0.3342  4 In 3.24, 8 Mg 3.48-3.53, 2 Tm 3.53
Mg  0.0000  0.0629  0.1257  4 Mg 3.09, 2 In 3.17
Mg  0.0000  0.9371  0.8743  4 Mg 3.09, 2 In 3.17
Mg  0.0000  0.2715  0.5431  2 Mg 2.79, 1 In 2.81
Mg  0.0000  0.7285  0.4569  2 Mg 2.79, 1 In 2.81
Mg  0.5000  0.4506  0.9011  5 Mg 2.84-3.09, 2 In 2.93
Mg  0.5000  0.5494  0.0989  5 Mg 2.84-3.09, 2 In 2.93
In  0.0000  0.6307  0.2614  3 Mg 2.81-2.93
In  0.0000  0.3693  0.7386  3 Mg 2.81-2.93

Computed properties:
formation energy	-55	meV/atom

---

Record 3
Below is a relaxed Tm3Ga2Co7 crystal, with properties calculated at the GGA-PBE level.

Unit cell a=5.1000 b=5.1000 c=8.3462 alpha=72.21 beta=72.21 gamma=60.00
Closest atoms and distances in Å follow each position.
Fractional coordinates of all 12 atoms:
Tm  0.0000  0.0000  0.0000  6 Ga 2.94, 12 Co 3.22, 2 Tm 3.28
Tm  0.8599  0.8599  0.4203  12 Co 2.87-3.01, 3 Tm 3.20
Tm  0.1401  0.1401  0.5797  12 Co 2.87-3.01, 3 Tm 3.20
Ga  0.6664  0.6664  0.0008  6 Co 2.45-2.46
Ga  0.3336  0.3336  0.9992  6 Co 2.45-2.46
Co  0.5000  0.5000  0.5000  6 Co 2.44
Co  0.9173  0.4156  0.2515  5 Co 2.44-2.56, 2 Ga 2.45-2.46
Co  0.4156  0.9173  0.2515  5 Co 2.44-2.56, 2 Ga 2.45-2.46
Co  0.4156  0.4156  0.2515  5 Co 2.44-2.56, 2 Ga 2.45-2.46
Co  0.0827  0.5844  0.7485  5 Co 2.44-2.56, 2 Ga 2.45-2.46
Co  0.5844  0.5844  0.7485  5 Co 2.44-2.56, 2 Ga 2.45-2.46
Co  0.5844  0.0827  0.7485  5 Co 2.44-2.56, 2 Ga 2.45-2.46

Computed properties:
formation energy	-341	meV/atom